Entry 1:
VASP calculation (PBE-GGA) on crystalline ZnPt6Rh2 at its relaxed geometry.

```
ZnPt6Rh2
1.0
8.317 0.000 0.000
0.000 8.317 0.000
0.000 0.000 3.933
Zn Pt Rh
2 12 4
Direct
0.000 0.000 0.000 Zn
0.500 0.500 0.500 Zn
0.001 0.328 0.000 Pt
0.163 0.163 0.500 Pt
0.172 0.501 0.500 Pt
0.328 0.001 0.000 Pt
0.337 0.663 0.000 Pt
0.499 0.828 0.500 Pt
0.501 0.172 0.500 Pt
0.663 0.337 0.000 Pt
0.672 0.999 0.000 Pt
0.828 0.499 0.500 Pt
0.837 0.837 0.500 Pt
0.999 0.672 0.000 Pt
0.165 0.835 0.500 Rh
0.335 0.335 0.000 Rh
0.665 0.665 0.000 Rh
0.835 0.165 0.500 Rh
```

The total energy comes out at -5.951 eV/atom. As for the symmetry: P4_2/mnm, No. 136. The value obtained for the energy above the lowest structure with this stoichiometry is 0 meV per atom.

=====

Entry 2:
VASP calculation (PBE-GGA) on crystalline Zn4PtRh2 at its relaxed geometry.

```
Zn4PtRh2
1.0
-2.974 2.974 3.062
2.974 -2.974 3.062
2.974 2.974 -3.062
Zn Pt Rh
4 1 2
Direct
0.000 0.000 0.500 Zn
0.000 0.500 0.000 Zn
0.500 0.000 0.000 Zn
0.500 0.500 0.500 Zn
0.000 0.000 0.000 Pt
0.000 0.500 0.500 Rh
0.500 0.000 0.500 Rh
```

The total energy comes out at -4.136 eV/atom. As for the symmetry: I4/mmm, No. 139.

=====

Entry 3:
VASP calculation (PBE-GGA) on crystalline Zn2Pt12Rh5 at its relaxed geometry.

```
Zn2Pt12Rh5
1.0
6.013 -4.001 0.000
6.013 4.001 0.000
-0.686 0.000 6.338
Zn Pt Rh
2 12 5
Direct
0.247 0.753 0.000 Zn
0.753 0.247 0.000 Zn
0.051 0.051 0.739 Pt
0.056 0.423 0.810 Pt
0.114 0.678 0.572 Pt
0.322 0.886 0.428 Pt
0.388 0.388 0.104 Pt
0.423 0.056 0.810 Pt
0.577 0.944 0.190 Pt
0.612 0.612 0.896 Pt
0.678 0.114 0.572 Pt
0.886 0.322 0.428 Pt
0.944 0.577 0.190 Pt
0.949 0.949 0.261 Pt
0.156 0.156 0.120 Rh
0.284 0.284 0.470 Rh
0.500 0.500 0.500 Rh
0.716 0.716 0.530 Rh
0.844 0.844 0.880 Rh
```

The total energy comes out at -5.823 eV/atom. As for the symmetry: C2/m, No. 12.

=====

Entry 4:
VASP calculation (PBE-GGA) on crystalline ZrZnPtRh at its relaxed geometry.

```
ZrZnPtRh
1.0
0.000 3.200 3.200
3.200 0.000 3.200
3.200 3.200 0.000
Zr Zn Pt Rh
1 1 1 1
Direct
0.000 0.000 0.000 Zr
0.500 0.500 0.500 Zn
0.750 0.750 0.750 Pt
0.250 0.250 0.250 Rh
```

The total energy comes out at -6.575 eV/atom. As for the symmetry: F-43m, No. 216. The value obtained for the energy above the lowest structure with this stoichiometry is 60 meV per atom.

=====

Entry 5:
VASP calculation (PBE-GGA) on crystalline ZrZnPtRh at its relaxed geometry.

```
ZrZnPtRh
1.0
-2.098 2.098 3.682
2.098 -2.098 3.682
2.098 2.098 -3.682
Zr Zn Pt Rh
1 1 1 1
Direct
0.000 0.000 0.000 Zr
0.500 0.500 0.000 Zn
0.250 0.750 0.500 Pt
0.750 0.250 0.500 Rh
```

The total energy comes out at -6.635 eV/atom. As for the symmetry: I-4m2, No. 119. The value obtained for the energy above the lowest structure with this stoichiometry is 0 meV per atom.

=====

Entry 6:
VASP calculation (PBE-GGA) on crystalline ZrPtRh2 at its relaxed geometry.

```
ZrPtRh2
1.0
-2.024 2.024 3.926
2.024 -2.024 3.926
2.024 2.024 -3.926
Zr Pt Rh
1 1 2
Direct
0.000 0.000 0.000 Zr
0.500 0.500 0.000 Pt
0.250 0.750 0.500 Rh
0.750 0.250 0.500 Rh
```

The total energy comes out at -7.993 eV/atom. As for the symmetry: I4/mmm, No. 139.